1.
PuSn3Pd | Alexandria via LeMat-Bulk | PBE | optimized geometry; volume = 249.4 Å³ per cell; E = -6.617 eV/atom; formation energy = -0.31 eV/atom; symmetry = Pmmn
1.0
4.467 -0.001 0.000
0.002 7.240 0.000
0.000 0.000 7.712
Pu Sn Pd
2 6 2
Cartesian
3.351 1.809 1.710
1.118 5.430 6.001
3.352 5.429 0.597
1.117 1.810 7.115
3.350 0.276 5.161
3.351 3.342 5.161
1.118 6.962 2.551
1.118 3.897 2.551
3.352 5.429 3.295
1.117 1.810 4.417

---

2.
TlAg2Au6 | Alexandria via LeMat-Bulk | PBE | optimized geometry; volume = 346.0 Å³ per cell; E = -3.045 eV/atom; formation energy = 0.04 eV/atom; symmetry = C2/c
1.0
-4.220 0.989 2.779
2.727 -2.986 7.429
2.984 6.565 4.421
Tl Ag Au
2 4 12
Cartesian
1.899 5.677 5.473
-0.407 -1.110 9.156
2.100 3.932 8.599
1.564 2.469 3.908
-0.608 0.635 6.030
-0.073 2.098 10.722
1.164 1.251 8.217
2.373 0.448 5.770
0.327 3.315 6.412
-0.882 4.119 8.859
-1.393 2.669 4.154
0.839 4.799 11.106
2.885 1.898 10.475
0.652 -0.232 3.523
0.773 -1.866 6.356
2.640 -1.056 9.087
0.719 6.433 8.274
-1.149 5.623 5.542

---

3.
H3OsI | Alexandria via LeMat-Bulk | PBE | optimized geometry; volume = 63.0 Å³ per cell; E = -2.519 eV/atom; symmetry = Pm-3m
1.0
-2.850 2.553 -1.093
-0.825 -2.274 -3.160
-2.652 -2.036 2.158
I H Os
1 3 1
Cartesian
0.000 0.000 0.000
-0.413 -1.137 -1.580
-1.326 -1.018 1.079
-1.425 1.276 -0.547
-3.163 -0.879 -1.047

---

4.
CuSi2N | Alexandria via LeMat-Bulk | PBE | optimized geometry; volume = 47.9 Å³ per cell; uncorrected formation energy = 1.101 eV per atom; E = -4.715 eV/atom; symmetry = Fm-3m
1.0
0.000 2.883 2.883
2.883 0.000 2.883
2.883 2.883 0.000
Si Cu N
2 1 1
Cartesian
1.442 1.442 1.442
4.325 4.325 4.325
2.883 2.883 2.883
0.000 0.000 0.000

---

5.
Pu2PaPb | Alexandria via LeMat-Bulk | PBE | optimized geometry; volume = 104.0 Å³ per cell; E = -10.303 eV/atom; formation energy = 0.16 eV/atom; symmetry = Fm-3m
1.0
-1.214 1.857 -4.789
-4.763 -0.946 -2.068
-3.488 3.930 -0.501
Pb Pa Pu
1 1 2
Cartesian
-4.732 2.421 -3.679
0.000 0.000 0.000
-2.366 1.210 -1.840
-7.099 3.631 -5.519

---

6.
Er12TmSc3 | Alexandria via LeMat-Bulk | PBE | optimized geometry; volume = 468.6 Å³ per cell; E = -4.851 eV/atom; formation energy = 0.04 eV/atom; symmetry = P4/mmm
1.0
4.895 0.000 0.000
0.000 4.895 0.000
0.000 0.000 19.556
Er Tm Sc
12 1 3
Cartesian
2.448 2.448 0.000
2.448 2.448 4.931
2.448 2.448 9.778
2.448 2.448 14.625
2.448 0.000 2.500
2.448 0.000 7.353
2.448 0.000 12.203
2.448 0.000 17.055
0.000 2.448 2.500
0.000 2.448 7.353
0.000 2.448 12.203
0.000 2.448 17.055
0.000 0.000 0.000
0.000 0.000 4.921
0.000 0.000 9.778
0.000 0.000 14.634

---

7.
Y3InN | Alexandria via LeMat-Bulk | PBE | optimized geometry; volume = 326.8 Å³ per cell; uncorrected formation energy = 0.782 eV per atom; E = -5.310 eV/atom; symmetry = I-4m2
1.0
-2.135 -0.139 -4.813
-3.837 -3.132 1.793
-9.491 7.830 1.102
Y N In
6 2 2
Cartesian
-6.013 -0.732 1.329
-10.751 3.004 1.801
-8.725 4.658 0.854
-7.141 -0.806 -1.213
-5.487 2.004 -0.506
-9.976 2.555 -1.412
-8.581 4.882 -2.099
-6.032 1.173 -3.122
0.000 0.000 0.000
-8.157 1.531 0.692

---

8.
SrMg3Pd | Alexandria via LeMat-Bulk | PBE | optimized geometry; volume = 257.7 Å³ per cell; E = -2.617 eV/atom; formation energy = -0.29 eV/atom; symmetry = P6_3/mmc
1.0
5.945 0.000 0.000
0.000 7.077 -0.001
0.000 -3.540 6.127
Sr Mg Pd
2 6 2
Cartesian
4.458 3.537 2.042
1.487 0.000 4.084
4.459 1.636 5.030
1.486 3.538 3.932
1.486 1.901 1.096
4.459 -0.001 2.194
1.486 5.176 1.096
4.459 -1.638 5.030
0.000 -3.540 6.127
2.973 -3.540 6.127

---

9.
Pr4P2Pb | Alexandria via LeMat-Bulk | PBE | optimized geometry; volume = 425.3 Å³ per cell; E = -5.882 eV/atom; formation energy = -1.08 eV/atom; symmetry = Cmcm
1.0
4.251 0.000 0.000
-2.125 6.947 0.000
0.000 0.000 14.402
Pr P Pb
8 4 2
Cartesian
2.125 3.703 1.643
2.125 3.703 5.558
0.000 3.243 12.759
0.000 3.243 8.843
2.125 6.019 10.801
0.000 0.928 3.600
2.125 0.000 0.000
2.125 0.000 7.201
0.000 1.884 6.335
2.125 5.063 13.535
0.000 1.884 0.866
2.125 5.063 8.067
2.125 1.490 10.801
0.000 5.457 3.600

---

10.
CaZrP2Cl | Alexandria via LeMat-Bulk | PBE | optimized geometry; volume = 128.5 Å³ per cell; uncorrected formation energy = -0.820 eV per atom; E = -5.464 eV/atom; symmetry = P4/mmm
1.0
5.054 0.000 0.000
0.000 5.054 0.000
0.000 0.000 5.031
P Ca Zr Cl
2 1 1 1
Cartesian
0.000 2.527 0.000
2.527 0.000 0.000
2.527 2.527 2.516
0.000 0.000 0.000
0.000 0.000 2.516

---

11.
Li3PmPb4 | Alexandria via LeMat-Bulk | PBE | optimized geometry; volume = 399.4 Å³ per cell; E = -3.486 eV/atom; formation energy = -0.32 eV/atom; symmetry = Pmma
1.0
-4.148 -0.553 -3.132
-1.079 -6.736 2.618
-6.174 3.899 7.487
Pb Pm Li
8 2 6
Cartesian
-2.911 -5.502 0.465
-5.998 -3.553 4.208
-2.316 -1.786 -0.980
-5.403 0.163 2.764
-5.472 -2.302 7.643
-6.524 -4.803 0.773
-5.929 -1.087 -0.670
-4.877 1.413 6.199
-0.540 -3.368 1.309
-3.626 -1.418 5.052
0.000 0.000 0.000
-3.087 1.949 3.744
-6.710 2.647 4.045
-3.611 0.699 0.310
-7.245 -0.720 5.357
-4.156 -2.669 1.615

---

12.
Ac4HgGeI2 | Alexandria via LeMat-Bulk | PBE | optimized geometry; volume = 306.6 Å³ per cell; uncorrected formation energy = -0.834 eV per atom; E = -3.891 eV/atom; symmetry = P2/m
1.0
-2.865 -2.283 -2.867
3.187 -7.245 2.586
-4.445 -2.644 6.546
Ac Hg Ge I
4 1 1 2
Cartesian
-1.087 -7.172 6.798
-3.035 -5.001 -0.533
-0.378 -7.003 2.180
-3.744 -5.170 4.084
0.161 -4.764 -0.141
-0.629 -4.944 4.566
-4.445 -2.644 6.546
-3.655 -2.464 1.839

---

13.
PaTe2AuO8 | Alexandria via LeMat-Bulk | PBE | optimized geometry; volume = 194.9 Å³ per cell; uncorrected formation energy = -1.388 eV per atom; E = -6.281 eV/atom; symmetry = C2/m
1.0
-2.265 4.775 3.616
0.157 -0.979 7.060
4.114 2.019 5.580
Pa Te Au O
1 2 1 8
Cartesian
0.000 0.000 0.000
0.280 1.724 3.568
1.727 4.091 12.687
1.003 2.908 8.128
1.472 5.549 10.603
-0.688 2.944 7.021
0.535 0.266 5.653
2.695 2.872 9.235
-0.061 2.588 10.282
2.068 3.228 5.973
0.897 0.567 8.753
1.110 5.248 7.503

---

14.
ReSi4Pt | Alexandria via LeMat-Bulk | PBE | optimized geometry; volume = 82.2 Å³ per cell; uncorrected formation energy = 0.518 eV per atom; E = -6.179 eV/atom; symmetry = F-43m
1.0
0.000 3.451 3.451
3.451 0.000 3.451
3.451 3.451 0.000
Re Si Pt
1 4 1
Cartesian
0.000 0.000 0.000
2.586 4.316 4.316
4.316 4.316 2.586
4.316 2.586 4.316
2.586 2.586 2.586
5.177 5.177 5.177

---

15.
AlRuPb2 | Alexandria via LeMat-Bulk | PBE | optimized geometry; volume = 86.3 Å³ per cell; E = -4.540 eV/atom; formation energy = 0.57 eV/atom; symmetry = Pmmm
1.0
-1.238 0.681 3.279
0.746 -4.934 1.306
4.341 1.034 1.424
Pb Ru Al
2 1 1
Cartesian
0.000 0.000 0.000
-0.246 -2.127 2.293
1.552 0.857 2.351
2.544 -1.950 1.365

---

16.
ReNiSe4 | Alexandria via LeMat-Bulk | PBE | optimized geometry; volume = 118.7 Å³ per cell; uncorrected formation energy = 1.516 eV per atom; E = -3.846 eV/atom; symmetry = F-43m
1.0
-3.655 -3.598 2.032
-2.704 1.154 4.668
-5.391 1.162 -0.150
Re Ni Se
1 1 4
Cartesian
0.000 0.000 0.000
-8.812 -0.961 4.912
-6.233 -2.280 3.472
-7.102 0.101 2.381
-5.758 0.097 4.791
-4.405 -0.481 2.456

---

17.
PmYSbPd | Alexandria via LeMat-Bulk | PBE | optimized geometry; volume = 100.5 Å³ per cell; uncorrected formation energy = -0.792 eV per atom; E = -5.924 eV/atom; symmetry = F-43m
1.0
5.219 0.000 0.000
2.610 4.520 0.000
2.610 1.507 4.261
Y Sb Pd Pm
1 1 1 1
Cartesian
7.829 4.520 3.196
0.000 0.000 0.000
5.219 3.013 2.131
2.610 1.507 1.065

---

18.
FeIr3Os4 | Alexandria via LeMat-Bulk | PBE | optimized geometry; volume = 225.6 Å³ per cell; E = -10.004 eV/atom; formation energy = -0.01 eV/atom; symmetry = Pmn2_1
1.0
4.741 0.000 0.000
0.000 5.465 0.000
0.000 0.000 8.706
Ir Os Fe
6 8 2
Cartesian
3.470 4.769 0.000
4.257 3.405 2.192
1.887 2.060 2.161
1.100 0.696 4.353
1.887 2.060 6.545
4.257 3.405 6.514
1.087 0.688 0.000
3.476 2.050 0.000
4.245 0.688 2.170
1.875 4.777 2.183
1.106 3.415 4.353
3.457 4.777 4.353
1.875 4.777 6.523
4.245 0.688 6.536
1.109 3.435 0.000
3.480 2.030 4.353

---

19.
MoRuPt2 | Alexandria via LeMat-Bulk | PBE | optimized geometry; volume = 60.6 Å³ per cell; E = -8.084 eV/atom; formation energy = -0.04 eV/atom; symmetry = R-3m
1.0
9.303 0.009 0.005
8.890 2.742 0.005
8.890 1.344 2.389
Mo Pt Ru
1 2 1
Cartesian
20.312 3.071 1.800
0.009 0.001 0.001
13.533 2.046 1.199
6.771 1.024 0.600

---

20.
Rb2NbAg | Alexandria via LeMat-Bulk | PBE | optimized geometry; volume = 161.6 Å³ per cell; E = -2.432 eV/atom; formation energy = 1.28 eV/atom; symmetry = Fm-3m
1.0
0.000 4.323 4.323
4.323 0.000 4.323
4.323 4.323 0.000
Nb Rb Ag
1 2 1
Cartesian
0.000 0.000 0.000
2.161 2.161 2.161
6.484 6.484 6.484
4.323 4.323 4.323